Entry 1:
Lu2BeB (PBE-GGA, optimized geometry); energy = -3.85 eV per atom
1.0
0.000 3.253 3.253
3.253 0.000 3.253
3.253 3.253 0.000
Lu Be B
2 1 1
direct
0.000 0.000 0.000 Lu
0.250 0.250 0.250 Lu
0.750 0.750 0.750 Be
0.500 0.500 0.500 B

Entry 2:
Nb4AlSnC2 (PBE-GGA, optimized geometry); energy = -8.77 eV per atom
1.0
3.197 0.000 0.000
-1.598 2.768 0.000
0.000 0.000 13.940
Nb Al Sn C
4 1 1 2
direct
0.000 0.000 0.159 Nb
0.000 0.000 0.841 Nb
0.333 0.667 0.332 Nb
0.333 0.667 0.668 Nb
0.333 0.667 0.000 Al
0.000 0.000 0.500 Sn
0.667 0.333 0.245 C
0.667 0.333 0.755 C

Entry 3:
IrF3 (PBE-GGA, optimized geometry); energy = -4.77 eV per atom
1.0
2.656 -4.596 0.000
2.656 4.596 0.000
-1.792 0.000 4.082
Ir F
2 6
direct
0.166 0.834 0.000 Ir
0.834 0.166 0.000 Ir
0.077 0.417 0.753 F
0.242 0.242 0.250 F
0.417 0.077 0.753 F
0.583 0.923 0.247 F
0.758 0.758 0.750 F
0.923 0.583 0.247 F

Entry 4:
Sm3PSe2 (PBE-GGA, optimized geometry); ΔE to the lowest computed polymorph = 0.012 eV per atom
1.0
4.139 0.000 0.000
-2.070 3.585 0.000
0.000 0.000 10.237
Sm P Se
3 1 2
direct
0.000 0.000 0.000 Sm
0.333 0.667 0.652 Sm
0.667 0.333 0.348 Sm
0.000 0.000 0.500 P
0.333 0.667 0.168 Se
0.667 0.333 0.832 Se

Entry 5:
RbYMo (PBE-GGA, optimized geometry); ΔE to the lowest computed polymorph = 0.000 eV per atom
1.0
0.000 3.786 3.786
3.786 0.000 3.786
3.786 3.786 0.000
Rb Y Mo
1 1 1
direct
0.000 0.000 0.000 Rb
0.500 0.500 0.500 Y
0.250 0.250 0.250 Mo

Entry 6:
NdDy2Sn3Ir2Pd (PBE-GGA, optimized geometry); energy = -6.27 eV per atom
1.0
4.011 0.000 0.000
0.000 6.546 3.759
0.000 -6.546 3.759
Nd Dy Sn Ir Pd
1 2 3 2 1
direct
0.000 0.000 0.000 Nd
0.000 0.411 0.823 Dy
0.000 0.823 0.411 Dy
0.500 0.152 0.413 Sn
0.500 0.413 0.152 Sn
0.500 0.671 0.671 Sn
0.500 0.081 0.741 Ir
0.500 0.741 0.081 Ir
0.000 0.417 0.417 Pd